one:
4
Lattice="3.5767 0.0000 0.0000 0.0000 3.5767 0.0000 0.0000 0.0000 10.3759" Properties=species:S:1:pos:R:3 comment="TbEu2Sc, optimized geometry, DFT PBE" volume_a3_per_fu=132.7 sg=P4/mmm dos_ef_per_ev_atom=1.318 pbc="T T T"
Tb 0.0000 0.0000 0.0000
Eu 1.7883 1.7883 2.7145
Eu 1.7883 1.7883 7.6614
Sc 0.0000 0.0000 5.1880

---

two:
4
Lattice="5.0506 0.0000 0.0000 0.0000 5.0506 0.0000 0.0000 0.0000 5.2060" Properties=species:S:1:pos:R:3 comment="TbEu2Sc, optimized geometry, DFT PBE" volume_a3_per_fu=132.8 sg=P4/mmm dos_ef_per_ev_atom=1.510 pbc="T T T"
Tb 0.0000 0.0000 0.0000
Eu 0.0000 2.5253 2.6030
Eu 2.5253 0.0000 2.6030
Sc 2.5253 2.5253 0.0000

---

one is favored, and the nearest alternative lies 0.006 eV/atom above it.

---

one:
4
Lattice="1.7465 1.0083 12.4991 -1.7465 1.0083 12.4991 0.0000 -2.0167 12.4991" Properties=species:S:1:pos:R:3 comment="TbEu2Sc, optimized geometry, DFT PBE" volume_a3_per_fu=132.1 sg=R-3m dos_ef_per_ev_atom=1.584 pbc="T T T"
Tb 0.0000 0.0000 0.0000
Eu 0.0000 0.0000 15.5996
Eu 0.0000 0.0000 21.8976
Sc 0.0000 0.0000 18.7486

---

two:
4
Lattice="0.0000 4.0466 4.0466 4.0466 0.0000 4.0466 4.0466 4.0466 0.0000" Properties=species:S:1:pos:R:3 comment="TbEu2Sc, optimized geometry, DFT PBE" volume_a3_per_fu=132.5 sg=Fm-3m dos_ef_per_ev_atom=1.325 pbc="T T T"
Tb 0.0000 0.0000 0.0000
Eu 2.0233 2.0233 2.0233
Eu 6.0699 6.0699 6.0699
Sc 4.0466 4.0466 4.0466

---

two is favored, and the nearest alternative lies 0.084 eV/atom above it.

---

one:
4
Lattice="3.5136 0.0000 0.0000 0.0000 3.5136 0.0000 0.0000 0.0000 9.5972" Properties=species:S:1:pos:R:3 comment="TbEuSc2, optimized geometry, DFT PBE" volume_a3_per_fu=118.5 sg=P4/mmm dos_ef_per_ev_atom=1.491 pbc="T T T"
Tb 0.0000 0.0000 0.0000
Eu 0.0000 0.0000 4.7986
Sc 1.7568 1.7568 2.2497
Sc 1.7568 1.7568 7.3475

---

two:
4
Lattice="5.4985 0.0000 0.0000 0.0000 5.4985 0.0000 0.0000 0.0000 3.8582" Properties=species:S:1:pos:R:3 comment="TbEuSc2, optimized geometry, DFT PBE" volume_a3_per_fu=116.6 sg=P4/mmm dos_ef_per_ev_atom=1.638 pbc="T T T"
Tb 0.0000 0.0000 0.0000
Eu 2.7492 2.7492 0.0000
Sc 0.0000 2.7492 1.9291
Sc 2.7492 0.0000 1.9291

---

one is favored, and the nearest alternative lies 0.041 eV/atom above it.

---

one:
4
Lattice="3.5449 0.0000 0.0000 0.0000 3.5449 0.0000 0.0000 0.0000 9.5428" Properties=species:S:1:pos:R:3 comment="EuThSc2, optimized geometry, DFT PBE" volume_a3_per_fu=119.9 sg=P4/mmm dos_ef_per_ev_atom=1.228 pbc="T T T"
Eu 0.0000 0.0000 0.0000
Th 0.0000 0.0000 4.7714
Sc 1.7724 1.7724 2.5851
Sc 1.7724 1.7724 6.9577

---

two:
4
Lattice="0.0000 3.8876 3.8876 3.8876 0.0000 3.8876 3.8876 3.8876 0.0000" Properties=species:S:1:pos:R:3 comment="EuThSc2, optimized geometry, DFT PBE" volume_a3_per_fu=117.5 sg=Fm-3m dos_ef_per_ev_atom=1.566 pbc="T T T"
Eu 0.0000 0.0000 0.0000
Th 3.8876 3.8876 3.8876
Sc 1.9438 1.9438 1.9438
Sc 5.8314 5.8314 5.8314

---

one is favored, and the nearest alternative lies 0.085 eV/atom above it.

---

one:
4
Lattice="5.5819 0.0000 0.0000 0.0000 5.5819 0.0000 0.0000 0.0000 3.7487" Properties=species:S:1:pos:R:3 comment="EuThSc2, optimized geometry, DFT PBE" volume_a3_per_fu=116.8 sg=P4/mmm dos_ef_per_ev_atom=1.272 pbc="T T T"
Eu 0.0000 0.0000 0.0000
Th 2.7909 2.7909 0.0000
Sc 0.0000 2.7909 1.8744
Sc 2.7909 0.0000 1.8744

---

two:
4
Lattice="1.7480 1.0092 11.1050 -1.7480 1.0092 11.1050 0.0000 -2.0184 11.1050" Properties=species:S:1:pos:R:3 comment="EuThSc2, optimized geometry, DFT PBE" volume_a3_per_fu=117.5 sg=R-3m dos_ef_per_ev_atom=1.235 pbc="T T T"
Eu 0.0000 0.0000 0.0000
Th 0.0000 0.0000 16.6574
Sc 0.0000 0.0000 8.1668
Sc 0.0000 0.0000 25.1481

---

two is favored, and the nearest alternative lies 0.041 eV/atom above it.

---

one:
4
Lattice="3.4769 0.0000 0.0000 0.0000 3.4769 0.0000 0.0000 0.0000 9.0451" Properties=species:S:1:pos:R:3 comment="EuSc2Tl, optimized geometry, DFT PBE" volume_a3_per_fu=109.3 sg=P4/mmm dos_ef_per_ev_atom=1.272 pbc="T T T"
Eu 0.0000 0.0000 0.0000
Sc 1.7384 1.7384 2.6033
Sc 1.7384 1.7384 6.4418
Tl 0.0000 0.0000 4.5226

---

two:
4
Lattice="0.0000 3.7099 3.7099 3.7099 0.0000 3.7099 3.7099 3.7099 0.0000" Properties=species:S:1:pos:R:3 comment="EuSc2Tl, optimized geometry, DFT PBE" volume_a3_per_fu=102.1 sg=Fm-3m dos_ef_per_ev_atom=1.458 pbc="T T T"
Eu 0.0000 0.0000 0.0000
Sc 1.8550 1.8550 1.8550
Sc 5.5649 5.5649 5.5649
Tl 3.7099 3.7099 3.7099

---

one is favored, and the nearest alternative lies 0.034 eV/atom above it.